[1]
DFT (PBEsol) results for a relaxed AcSm3 crystal.

Structure (CIF):
```
data_AcSm3
_chemical_formula_sum 'Ac2 Sm6'
_symmetry_space_group_name_H-M 'I 4/m m m'
_symmetry_Int_Tables_number 139
_symmetry_space_group_name_Hall '-I 4 2'
_cell_length_a 5.1519
_cell_length_b 5.1519
_cell_length_c 10.2226
_cell_angle_alpha 90.00
_cell_angle_beta 90.00
_cell_angle_gamma 90.00
loop_
_atom_site_label
_atom_site_type_symbol
_atom_site_fract_x
_atom_site_fract_y
_atom_site_fract_z
Ac1 Ac 0.0000 0.0000 0.0000
Sm1 Sm 0.0000 0.0000 0.5000
Sm2 Sm 0.0000 0.5000 0.2500
```

Output
The volume is 33.92 Å³ per atom. The calculation puts the formation energy at 0.034 eV per atom. Its uncorrected energy is -4.9113 eV per atom. For the calculated density, the calculation gives 8.30 g cm⁻³.

[2]
DFT (PBEsol) results for a relaxed In2Bi2O7 crystal.

Structure (CIF):
```
data_In2Bi2O7
_chemical_formula_sum 'In8 Bi8 O28'
_symmetry_space_group_name_H-M 'P 1 21 1'
_symmetry_Int_Tables_number 4
_cell_length_a 7.9787
_cell_length_b 5.4961
_cell_length_c 13.8568
_cell_angle_alpha 90.00
_cell_angle_beta 98.85
_cell_angle_gamma 90.00
loop_
_symmetry_equiv_pos_as_xyz
'x,y,z'
'-x,y+1/2,-z'
loop_
_atom_site_label
_atom_site_type_symbol
_atom_site_fract_x
_atom_site_fract_y
_atom_site_fract_z
In1 In 0.0219 0.0000 0.1150
In2 In 0.0727 0.5173 0.3159
In3 In 0.3900 0.0027 0.6767
In4 In 0.4616 0.4847 0.8789
Bi1 Bi 0.1666 0.5672 0.5500
Bi2 Bi 0.2260 0.0015 0.9230
Bi3 Bi 0.2986 0.4647 0.1434
Bi4 Bi 0.3816 0.0260 0.3739
O1 O 0.0276 0.1770 0.8145
O2 O 0.0404 0.8038 0.4280
O3 O 0.0739 0.3420 0.0352
O4 O 0.1493 0.8239 0.6605
O5 O 0.1543 0.2209 0.2278
O6 O 0.2047 0.3342 0.4369
O7 O 0.2207 0.6321 0.8718
O8 O 0.2705 0.8317 0.0883
O9 O 0.3289 0.6471 0.2893
O10 O 0.3593 0.3619 0.6347
O11 O 0.4022 0.7866 0.5442
O12 O 0.4184 0.1268 0.8277
O13 O 0.4319 0.2996 0.0337
O14 O 0.4774 0.2045 0.2403
```

Output
The volume is 13.65 Å³ per atom. The value obtained for the uncorrected formation energy is -1.220 eV per atom. Its uncorrected energy is -5.8817 eV per atom. For the calculated density, the calculation gives 8.40 g cm⁻³.

[3]
DFT (PBEsol) results for a relaxed KBSI2 crystal.

Structure (CIF):
```
data_KBSI2
_chemical_formula_sum 'K1 B1 S1 I2'
_symmetry_space_group_name_H-M 'P 4/m m m'
_symmetry_Int_Tables_number 123
_symmetry_space_group_name_Hall '-P 4 2'
_cell_length_a 6.3204
_cell_length_b 6.3204
_cell_length_c 5.5499
_cell_angle_alpha 90.00
_cell_angle_beta 90.00
_cell_angle_gamma 90.00
loop_
_atom_site_label
_atom_site_type_symbol
_atom_site_fract_x
_atom_site_fract_y
_atom_site_fract_z
K1 K 0.0000 0.0000 0.0000
B1 B 0.5000 0.5000 0.5000
S1 S 0.0000 0.0000 0.5000
I1 I 0.0000 0.5000 0.0000
```

Output
The volume is 44.34 Å³ per atom. The value obtained for the uncorrected formation energy is 1.348 eV per atom. Its uncorrected energy is -1.8658 eV per atom. For the calculated density, the calculation gives 2.51 g cm⁻³.

[4]
DFT (PBEsol) results for a relaxed Hf2FeIr crystal.

Structure (CIF):
```
data_Hf2FeIr
_chemical_formula_sum 'Hf8 Fe4 Ir4'
_symmetry_space_group_name_H-M 'F m -3 m'
_symmetry_Int_Tables_number 225
_symmetry_space_group_name_Hall '-F 4 2 3'
_cell_length_a 6.3634
_cell_length_b 6.3634
_cell_length_c 6.3634
_cell_angle_alpha 90.00
_cell_angle_beta 90.00
_cell_angle_gamma 90.00
loop_
_atom_site_label
_atom_site_type_symbol
_atom_site_fract_x
_atom_site_fract_y
_atom_site_fract_z
Hf1 Hf 0.2500 0.2500 0.2500
Fe1 Fe 0.0000 0.0000 0.0000
Ir1 Ir 0.0000 0.0000 0.5000
```

Output
The volume is 16.10 Å³ per atom. The calculation puts the formation energy at -0.656 eV per atom. Its uncorrected energy is -10.6046 eV per atom. For the calculated density, the calculation gives 15.60 g cm⁻³.

[5]
DFT (PBEsol) results for a relaxed Cr2CdCu crystal.

Structure (CIF):
```
data_Cr2CdCu
_chemical_formula_sum 'Cr6 Cd3 Cu3'
_symmetry_space_group_name_H-M 'R 3 m'
_symmetry_Int_Tables_number 160
_symmetry_space_group_name_Hall 'R 3 -2"'
_cell_length_a 2.7865
_cell_length_b 2.7865
_cell_length_c 24.7746
_cell_angle_alpha 90.00
_cell_angle_beta 90.00
_cell_angle_gamma 120.00
loop_
_atom_site_label
_atom_site_type_symbol
_atom_site_fract_x
_atom_site_fract_y
_atom_site_fract_z
Cr1 Cr 0.0000 0.0000 0.0000
Cr2 Cr 0.0000 0.0000 0.2728
Cd1 Cd 0.0000 0.0000 0.7653
Cu1 Cu 0.0000 0.0000 0.5242
```

Output
The volume is 13.88 Å³ per atom. The calculation puts the formation energy at 0.373 eV per atom. Its uncorrected energy is -6.1304 eV per atom. For the calculated density, the calculation gives 8.37 g cm⁻³.

[6]
DFT (PBEsol) results for a relaxed CaZrZn2 crystal.

Structure (CIF):
```
data_CaZrZn2
_chemical_formula_sum 'Ca3 Zr3 Zn6'
_symmetry_space_group_name_H-M 'R 3 m'
_symmetry_Int_Tables_number 160
_symmetry_space_group_name_Hall 'R 3 -2"'
_cell_length_a 3.3739
_cell_length_b 3.3739
_cell_length_c 26.5355
_cell_angle_alpha 90.00
_cell_angle_beta 90.00
_cell_angle_gamma 120.00
loop_
_atom_site_label
_atom_site_type_symbol
_atom_site_fract_x
_atom_site_fract_y
_atom_site_fract_z
Ca1 Ca 0.0000 0.0000 0.0000
Zr1 Zr 0.0000 0.0000 0.2250
Zn1 Zn 0.0000 0.0000 0.4816
Zn2 Zn 0.0000 0.0000 0.7544
```

Output
The volume is 21.80 Å³ per atom. The calculation puts the formation energy at 0.174 eV per atom. Its uncorrected energy is -3.4223 eV per atom. For the calculated density, the calculation gives 4.99 g cm⁻³.

[7]
DFT (PBEsol) results for a relaxed BaCd2Sb crystal.

Structure (CIF):
```
data_BaCd2Sb
_chemical_formula_sum 'Ba1 Cd2 Sb1'
_symmetry_space_group_name_H-M 'P m m 2'
_symmetry_Int_Tables_number 25
_cell_length_a 3.5703
_cell_length_b 4.2442
_cell_length_c 7.5369
_cell_angle_alpha 90.00
_cell_angle_beta 90.00
_cell_angle_gamma 90.00
loop_
_symmetry_equiv_pos_as_xyz
'x,y,z'
'-x,-y,z'
'-x,y,z'
'x,-y,z'
loop_
_atom_site_label
_atom_site_type_symbol
_atom_site_fract_x
_atom_site_fract_y
_atom_site_fract_z
Ba1 Ba 0.0000 0.0000 0.0000
Cd1 Cd 0.0000 0.0000 0.4925
Cd2 Cd 0.5000 0.5000 0.3100
Sb1 Sb 0.5000 0.5000 0.7090
```

Output
The volume is 28.55 Å³ per atom. The value obtained for the uncorrected formation energy is -0.301 eV per atom. Its uncorrected energy is -2.5761 eV per atom. For the calculated density, the calculation gives 7.04 g cm⁻³.

[8]
DFT (PBEsol) results for a relaxed YTaRe2 crystal.

Structure (CIF):
```
data_YTaRe2
_chemical_formula_sum 'Y3 Ta3 Re6'
_symmetry_space_group_name_H-M 'R 3 m'
_symmetry_Int_Tables_number 160
_symmetry_space_group_name_Hall 'R 3 -2"'
_cell_length_a 2.9004
_cell_length_b 2.9004
_cell_length_c 29.1347
_cell_angle_alpha 90.00
_cell_angle_beta 90.00
_cell_angle_gamma 120.00
loop_
_atom_site_label
_atom_site_type_symbol
_atom_site_fract_x
_atom_site_fract_y
_atom_site_fract_z
Y1 Y 0.0000 0.0000 0.0000
Ta1 Ta 0.0000 0.0000 0.7618
Re1 Re 0.0000 0.0000 0.2449
Re2 Re 0.0000 0.0000 0.5085
```

Output
The volume is 17.69 Å³ per atom. The calculation puts the formation energy at 0.406 eV per atom. Its uncorrected energy is -11.1031 eV per atom. For the calculated density, the calculation gives 15.07 g cm⁻³.

- What is the volume in the second record?
  13.65 Å³ per atom

Copy entry 7 word for word.
DFT (PBEsol) results for a relaxed BaCd2Sb crystal.

Structure (CIF):
```
data_BaCd2Sb
_chemical_formula_sum 'Ba1 Cd2 Sb1'
_symmetry_space_group_name_H-M 'P m m 2'
_symmetry_Int_Tables_number 25
_cell_length_a 3.5703
_cell_length_b 4.2442
_cell_length_c 7.5369
_cell_angle_alpha 90.00
_cell_angle_beta 90.00
_cell_angle_gamma 90.00
loop_
_symmetry_equiv_pos_as_xyz
'x,y,z'
'-x,-y,z'
'-x,y,z'
'x,-y,z'
loop_
_atom_site_label
_atom_site_type_symbol
_atom_site_fract_x
_atom_site_fract_y
_atom_site_fract_z
Ba1 Ba 0.0000 0.0000 0.0000
Cd1 Cd 0.0000 0.0000 0.4925
Cd2 Cd 0.5000 0.5000 0.3100
Sb1 Sb 0.5000 0.5000 0.7090
```

Output
The volume is 28.55 Å³ per atom. The value obtained for the uncorrected formation energy is -0.301 eV per atom. Its uncorrected energy is -2.5761 eV per atom. For the calculated density, the calculation gives 7.04 g cm⁻³.

Copy entry 7 word for word.
DFT (PBEsol) results for a relaxed BaCd2Sb crystal.

Structure (CIF):
```
data_BaCd2Sb
_chemical_formula_sum 'Ba1 Cd2 Sb1'
_symmetry_space_group_name_H-M 'P m m 2'
_symmetry_Int_Tables_number 25
_cell_length_a 3.5703
_cell_length_b 4.2442
_cell_length_c 7.5369
_cell_angle_alpha 90.00
_cell_angle_beta 90.00
_cell_angle_gamma 90.00
loop_
_symmetry_equiv_pos_as_xyz
'x,y,z'
'-x,-y,z'
'-x,y,z'
'x,-y,z'
loop_
_atom_site_label
_atom_site_type_symbol
_atom_site_fract_x
_atom_site_fract_y
_atom_site_fract_z
Ba1 Ba 0.0000 0.0000 0.0000
Cd1 Cd 0.0000 0.0000 0.4925
Cd2 Cd 0.5000 0.5000 0.3100
Sb1 Sb 0.5000 0.5000 0.7090
```

Output
The volume is 28.55 Å³ per atom. The value obtained for the uncorrected formation energy is -0.301 eV per atom. Its uncorrected energy is -2.5761 eV per atom. For the calculated density, the calculation gives 7.04 g cm⁻³.